*one*
# Mn2CuW GGA-PBE optimized geometry
# N(E_F), states/eV per atom: 0.19
# Theoretical density, Mg/m³: 11.59
# Crystal system: cubic
# Magnetic moment, μB/f.u.: 2.99
data_Mn2CuW
_cell_length_a 4.167
_cell_length_b 4.167
_cell_length_c 4.167
_cell_angle_alpha 60.00
_cell_angle_beta 60.00
_cell_angle_gamma 60.00
_symmetry_space_group_name_H-M 'P 1'
_symmetry_Int_Tables_number 1
loop_
_symmetry_equiv_pos_as_xyz
'x,y,z'
loop_
_atom_site_label
_atom_site_fract_x
_atom_site_fract_y
_atom_site_fract_z
Mn1 0.250 0.250 0.250
Mn2 0.750 0.750 0.750
Cu1 0.000 0.000 0.000
W1 0.500 0.500 0.500



*two*
# Mn2CuW GGA-PBE optimized geometry
# N(E_F), states/eV per atom: 0.98
# Theoretical density, Mg/m³: 11.41
# Crystal system: monoclinic
# Magnetic moment, μB/f.u.: 0.38
data_Mn2CuW
_cell_length_a 4.039
_cell_length_b 2.593
_cell_length_c 5.121
_cell_angle_alpha 75.71
_cell_angle_beta 90.00
_cell_angle_gamma 90.00
_symmetry_space_group_name_H-M 'P 1'
_symmetry_Int_Tables_number 1
loop_
_symmetry_equiv_pos_as_xyz
'x,y,z'
loop_
_atom_site_label
_atom_site_fract_x
_atom_site_fract_y
_atom_site_fract_z
Cu1 0.500 0.809 0.757
Mn1 0.000 0.994 0.010
Mn2 0.500 0.216 0.232
W1 0.000 0.482 0.501



*three*
# Mn2CuW GGA-PBE optimized geometry
# N(E_F), states/eV per atom: 0.71
# Theoretical density, Mg/m³: 10.44
# Crystal system: tetragonal
# Magnetic moment, μB/f.u.: 3.87
data_Mn2CuW
_cell_length_a 6.622
_cell_length_b 6.622
_cell_length_c 5.352
_cell_angle_alpha 51.78
_cell_angle_beta 51.78
_cell_angle_gamma 90.00
_symmetry_space_group_name_H-M 'P 1'
_symmetry_Int_Tables_number 1
loop_
_symmetry_equiv_pos_as_xyz
'x,y,z'
loop_
_atom_site_label
_atom_site_fract_x
_atom_site_fract_y
_atom_site_fract_z
Mn1 0.625 0.125 0.250
Mn2 0.125 0.625 0.250
Mn3 0.375 0.375 0.750
Mn4 0.875 0.875 0.750
Cu1 0.500 0.500 0.000
Cu2 0.250 0.750 0.500
W1 0.000 0.000 0.000
W2 0.750 0.250 0.500



The least stable of them is *three*.



*one*
# Mn2CuW GGA-PBE optimized geometry
# N(E_F), states/eV per atom: 1.02
# Theoretical density, Mg/m³: 11.04
# Crystal system: orthorhombic
# Magnetic moment, μB/f.u.: 4.53
data_Mn2CuW
_cell_length_a 2.625
_cell_length_b 2.625
_cell_length_c 8.109
_cell_angle_alpha 90.00
_cell_angle_beta 90.00
_cell_angle_gamma 105.96
_symmetry_space_group_name_H-M 'P 1'
_symmetry_Int_Tables_number 1
loop_
_symmetry_equiv_pos_as_xyz
'x,y,z'
loop_
_atom_site_label
_atom_site_fract_x
_atom_site_fract_y
_atom_site_fract_z
Cu1 0.500 0.500 0.750
Mn1 0.000 0.000 0.993
Mn2 0.000 0.000 0.507
W1 0.500 0.500 0.250



*two*
# Mn2CuW GGA-PBE optimized geometry
# N(E_F), states/eV per atom: 1.04
# Theoretical density, Mg/m³: 10.83
# Crystal system: tetragonal
# Magnetic moment, μB/f.u.: 6.02
data_Mn2CuW
_cell_length_a 2.683
_cell_length_b 2.683
_cell_length_c 7.611
_cell_angle_alpha 90.00
_cell_angle_beta 90.00
_cell_angle_gamma 90.00
_symmetry_space_group_name_H-M 'P 1'
_symmetry_Int_Tables_number 1
loop_
_symmetry_equiv_pos_as_xyz
'x,y,z'
loop_
_atom_site_label
_atom_site_fract_x
_atom_site_fract_y
_atom_site_fract_z
Cu1 0.500 0.500 0.750
Mn1 0.000 0.000 0.984
Mn2 0.000 0.000 0.516
W1 0.500 0.500 0.250



The least stable of them is *two*.



*one*
# MnCuW GGA-PBE optimized geometry
# N(E_F), states/eV per atom: 0.52
# Theoretical density, Mg/m³: 11.05
# Crystal system: cubic
# Magnetic moment, μB/f.u.: 0.07
data_MnCuW
_cell_length_a 4.005
_cell_length_b 4.005
_cell_length_c 4.005
_cell_angle_alpha 60.00
_cell_angle_beta 60.00
_cell_angle_gamma 60.00
_symmetry_space_group_name_H-M 'P 1'
_symmetry_Int_Tables_number 1
loop_
_symmetry_equiv_pos_as_xyz
'x,y,z'
loop_
_atom_site_label
_atom_site_fract_x
_atom_site_fract_y
_atom_site_fract_z
Cu1 0.500 0.500 0.500
Mn1 0.750 0.750 0.750
W1 0.000 0.000 0.000



*two*
# MnCuW GGA-PBE optimized geometry
# N(E_F), states/eV per atom: 0.88
# Theoretical density, Mg/m³: 12.47
# Crystal system: orthorhombic
# Magnetic moment, μB/f.u.: 1.71
data_MnCuW
_cell_length_a 4.631
_cell_length_b 4.631
_cell_length_c 4.631
_cell_angle_alpha 146.36
_cell_angle_beta 132.44
_cell_angle_gamma 59.51
_symmetry_space_group_name_H-M 'P 1'
_symmetry_Int_Tables_number 1
loop_
_symmetry_equiv_pos_as_xyz
'x,y,z'
loop_
_atom_site_label
_atom_site_fract_x
_atom_site_fract_y
_atom_site_fract_z
Cu1 0.997 0.997 0.000
Mn1 0.335 0.335 0.000
W1 0.668 0.668 0.000



The least stable of them is *one*.